Entry from the Alexandria database: a relaxed structure of PmNd2Sm4Dy (PBE-GGA).

Summary:
calculated volume = 34.56 A^3/atom
space group = C2/c (15)
size of the total moment = 0.01 μB per cell
crystal system = monoclinic
energy of formation = 388.8 meV/atom
electronic total energy = -69.3 eV for the cell shown

abc: 9.6060 9.6060 11.9458
angles: 128.36 128.36 88.30
With the nearest neighbours (Å) after each atom.
Fractional positions:
1 Pm 0.0000 0.5000 0.0000  6 Sm 3.35-3.46, 2 Nd 3.46
2 Pm 0.0000 0.5000 0.5000  6 Sm 3.35-3.46, 2 Nd 3.46
3 Nd 0.5000 0.0000 0.0000  6 Sm 3.36-3.48, 2 Pm 3.46
4 Nd 0.5000 0.0000 0.5000  6 Sm 3.36-3.48, 2 Pm 3.46
5 Nd 0.0000 0.0000 0.5000  6 Sm 3.38-3.60, 2 Nd 3.46
6 Nd 0.5000 0.5000 0.0000  6 Sm 3.38-3.60, 2 Nd 3.46
7 Sm 0.2453 0.7543 0.9980  1 Dy 3.28, 3 Nd 3.41-3.48, 2 Pm 3.44-3.46, 2 Sm 3.46
8 Sm 0.7457 0.2548 0.5020  1 Dy 3.28, 3 Nd 3.41-3.48, 2 Pm 3.44-3.46, 2 Sm 3.46
9 Sm 0.2543 0.7452 0.4980  1 Dy 3.28, 3 Nd 3.41-3.48, 2 Pm 3.44-3.46, 2 Sm 3.46
10 Sm 0.7548 0.2457 0.0020  1 Dy 3.28, 3 Nd 3.41-3.48, 2 Pm 3.44-3.46, 2 Sm 3.46
11 Sm 0.7196 0.7191 0.9659  2 Dy 3.32-3.52, 1 Pm 3.35, 3 Nd 3.36-3.60, 2 Sm 3.46
12 Sm 0.7809 0.7804 0.5341  2 Dy 3.32-3.52, 1 Pm 3.35, 3 Nd 3.36-3.60, 2 Sm 3.46
13 Sm 0.2191 0.2196 0.4659  2 Dy 3.32-3.52, 1 Pm 3.35, 3 Nd 3.36-3.60, 2 Sm 3.46
14 Sm 0.2804 0.2809 0.0341  2 Dy 3.32-3.52, 1 Pm 3.35, 3 Nd 3.36-3.60, 2 Sm 3.46
15 Dy 0.5000 0.5000 0.5000  6 Sm 3.28-3.52, 2 Dy 3.46
16 Dy 0.0000 0.0000 0.0000  6 Sm 3.28-3.52, 2 Dy 3.46



Entry from the Alexandria database: a relaxed structure of Pm6NdSm3Dy2 (PBE-GGA).

Summary:
calculated volume = 33.80 A^3/atom
space group = C2/m (12)
size of the total moment = 0.00 μB per cell
crystal system = monoclinic
energy of formation = 13.3 meV/atom
electronic total energy = -56.5 eV for the cell shown

abc: 6.2892 6.2892 12.0264
angles: 95.01 95.01 119.99
With the nearest neighbours (Å) after each atom.
Fractional positions:
1 Pm 0.9166 0.5824 0.7509  2 Dy 3.62, 1 Nd 3.62, 6 Pm 3.63-3.64, 3 Sm 3.63-3.64
2 Pm 0.7494 0.7494 0.2489  2 Dy 3.62, 1 Nd 3.62, 6 Pm 3.63-3.64, 3 Sm 3.64
3 Pm 0.0834 0.4176 0.2491  2 Dy 3.62, 1 Nd 3.62, 6 Pm 3.63-3.64, 3 Sm 3.63-3.64
4 Pm 0.5824 0.9166 0.7509  2 Dy 3.62, 1 Nd 3.62, 6 Pm 3.63-3.64, 3 Sm 3.63-3.64
5 Pm 0.2506 0.2506 0.7511  2 Dy 3.62, 1 Nd 3.62, 6 Pm 3.63-3.64, 3 Sm 3.64
6 Pm 0.4176 0.0834 0.2491  2 Dy 3.62, 1 Nd 3.62, 6 Pm 3.63-3.64, 3 Sm 3.63-3.64
7 Nd 0.0000 0.0000 0.0000  6 Pm 3.62, 6 Dy 3.63
8 Sm 0.1669 0.8331 0.5000  6 Sm 3.63-3.64, 6 Pm 3.63-3.64
9 Sm 0.8331 0.1669 0.5000  6 Sm 3.63-3.64, 6 Pm 3.63-3.64
10 Sm 0.5000 0.5000 0.5000  6 Sm 3.63, 6 Pm 3.64
11 Dy 0.3334 0.6666 0.0000  6 Pm 3.62, 3 Dy 3.63, 3 Nd 3.63
12 Dy 0.6666 0.3334 0.0000  6 Pm 3.62, 3 Dy 3.63, 3 Nd 3.63



Entry from the Alexandria database: a relaxed structure of Tb2Pm4NdDy2 (PBE-GGA).

Summary:
calculated volume = 33.21 A^3/atom
space group = C2/m (12)
size of the total moment = 0.00 μB per cell
crystal system = monoclinic
energy of formation = 15.6 meV/atom
electronic total energy = -42.1 eV for the cell shown

abc: 5.0987 8.0747 8.0651
angles: 107.47 90.00 108.40
With the nearest neighbours (Å) after each atom.
Fractional positions:
1 Tb 0.8887 0.7773 0.3328  3 Dy 3.59-3.60, 7 Pm 3.60-3.62, 1 Nd 3.61, 1 Tb 3.62
2 Tb 0.1113 0.2227 0.6672  3 Dy 3.59-3.60, 7 Pm 3.60-3.62, 1 Nd 3.61, 1 Tb 3.62
3 Pm 0.7772 0.5543 0.6676  3 Dy 3.58-3.60, 3 Tb 3.60-3.62, 1 Nd 3.61, 5 Pm 3.62
4 Pm 0.2228 0.4457 0.3324  3 Dy 3.58-3.60, 3 Tb 3.60-3.62, 1 Nd 3.61, 5 Pm 3.62
5 Pm 0.5549 0.1097 0.3329  4 Pm 3.60-3.62, 4 Tb 3.60-3.61, 2 Nd 3.60, 2 Dy 3.61-3.63
6 Pm 0.4451 0.8903 0.6671  4 Pm 3.60-3.62, 4 Tb 3.60-3.61, 2 Nd 3.60, 2 Dy 3.61-3.63
7 Nd 0.0000 0.0000 0.0000  6 Pm 3.60-3.61, 2 Tb 3.61, 4 Dy 3.62
8 Dy 0.3321 0.6643 0.0006  5 Pm 3.58-3.63, 2 Dy 3.58, 3 Tb 3.59-3.60, 2 Nd 3.62
9 Dy 0.6679 0.3357 0.9994  5 Pm 3.58-3.63, 2 Dy 3.58, 3 Tb 3.59-3.60, 2 Nd 3.62



Entry from the Alexandria database: a relaxed structure of Tb3Pm6Nd2Dy (PBE-GGA).

Summary:
calculated volume = 33.64 A^3/atom
space group = C2/m (12)
size of the total moment = 0.00 μB per cell
crystal system = monoclinic
energy of formation = 13.2 meV/atom
electronic total energy = -56.4 eV for the cell shown

abc: 6.2806 6.2806 11.9996
angles: 95.01 95.01 119.99
With the nearest neighbours (Å) after each atom.
Fractional positions:
1 Tb 0.1664 0.8336 0.5000  6 Pm 3.59-3.61, 6 Tb 3.62-3.63
2 Tb 0.8336 0.1664 0.5000  6 Pm 3.59-3.61, 6 Tb 3.62-3.63
3 Tb 0.5000 0.5000 0.5000  6 Pm 3.60, 6 Tb 3.63
4 Pm 0.9159 0.5836 0.7479  3 Tb 3.60-3.61, 6 Pm 3.62-3.63, 1 Dy 3.64, 2 Nd 3.64
5 Pm 0.7516 0.7516 0.2524  3 Tb 3.59-3.60, 6 Pm 3.62-3.63, 1 Dy 3.64, 2 Nd 3.65
6 Pm 0.0841 0.4164 0.2521  3 Tb 3.60-3.61, 6 Pm 3.62-3.63, 1 Dy 3.64, 2 Nd 3.64
7 Pm 0.5836 0.9159 0.7479  3 Tb 3.60-3.61, 6 Pm 3.62-3.63, 1 Dy 3.64, 2 Nd 3.64
8 Pm 0.2484 0.2484 0.7476  3 Tb 3.59-3.60, 6 Pm 3.62-3.63, 1 Dy 3.64, 2 Nd 3.65
9 Pm 0.4164 0.0841 0.2521  3 Tb 3.60-3.61, 6 Pm 3.62-3.63, 1 Dy 3.64, 2 Nd 3.64
10 Nd 0.3333 0.6667 0.0000  3 Dy 3.63, 3 Nd 3.63, 6 Pm 3.64-3.65
11 Nd 0.6667 0.3333 0.0000  3 Dy 3.63, 3 Nd 3.63, 6 Pm 3.64-3.65
12 Dy 0.0000 0.0000 0.0000  6 Nd 3.63, 6 Pm 3.64



Entry from the Alexandria database: a relaxed structure of Tb2Pm2Nd2Dy (PBE-GGA).

Summary:
calculated volume = 33.70 A^3/atom
space group = R-3m (166)
size of the total moment = 0.00 μB per cell
crystal system = trigonal
energy of formation = 134.0 meV/atom
electronic total energy = -32.0 eV for the cell shown

abc: 5.7574 5.7574 8.8639
angles: 71.05 71.05 60.00
With the nearest neighbours (Å) after each atom.
Fractional positions:
1 Tb 0.5732 0.5732 0.2804  4 Pm 3.49-3.55, 3 Nd 3.51, 1 Tb 3.61
2 Tb 0.4268 0.4268 0.7196  4 Pm 3.49-3.55, 3 Nd 3.51, 1 Tb 3.61
3 Pm 0.7174 0.7174 0.8478  4 Tb 3.49-3.55, 1 Nd 3.55, 3 Dy 3.55
4 Pm 0.2826 0.2826 0.1522  4 Tb 3.49-3.55, 1 Nd 3.55, 3 Dy 3.55
5 Nd 0.1388 0.1388 0.5837  1 Dy 3.42, 3 Tb 3.51, 1 Pm 3.55, 3 Nd 3.60
6 Nd 0.8612 0.8612 0.4163  1 Dy 3.42, 3 Tb 3.51, 1 Pm 3.55, 3 Nd 3.60
7 Dy 0.0000 0.0000 0.0000  2 Nd 3.42, 6 Pm 3.55



Entry from the Alexandria database: a relaxed structure of Tb4PmNd2Dy (PBE-GGA).

Summary:
calculated volume = 32.95 A^3/atom
space group = P2/m (10)
size of the total moment = 0.00 μB per cell
crystal system = monoclinic
energy of formation = 15.4 meV/atom
electronic total energy = -37.3 eV for the cell shown

abc: 5.1023 5.0867 11.3627
angles: 63.35 90.00 90.00
With the nearest neighbours (Å) after each atom.
Fractional positions:
1 Tb 0.0000 0.7518 0.7483  2 Dy 3.58, 4 Nd 3.59-3.61, 4 Tb 3.60, 2 Pm 3.61
2 Tb 0.0000 0.2482 0.2517  2 Dy 3.58, 4 Nd 3.59-3.61, 4 Tb 3.60, 2 Pm 3.61
3 Tb 0.5000 0.7486 0.2515  4 Nd 3.58-3.61, 2 Dy 3.59, 4 Tb 3.60, 2 Pm 3.60-3.61
4 Tb 0.5000 0.2514 0.7485  4 Nd 3.58-3.61, 2 Dy 3.59, 4 Tb 3.60, 2 Pm 3.60-3.61
5 Pm 0.5000 0.5000 0.0000  8 Tb 3.60-3.61, 4 Nd 3.60
6 Nd 0.0000 0.0000 0.0000  4 Pm 3.60, 8 Tb 3.60-3.61
7 Nd 0.5000 0.0000 0.5000  8 Tb 3.58-3.59, 4 Dy 3.60
8 Dy 0.0000 0.5000 0.5000  8 Tb 3.58-3.59, 4 Nd 3.60